1.
# GdIn2Sn

GdIn2Sn after structural relaxation (PBE, Alexandria via LeMat-Bulk).

Cell and atoms, written as POSCAR:
```
GdIn2Sn
1.0
3.911 0.000 0.000
0.000 3.911 0.000
0.000 0.000 6.953
Gd In Sn
1 2 1
Direct
0.000 0.000 0.000
0.500 0.500 0.271
0.500 0.500 0.729
0.000 0.000 0.500
```

Results
mass density = 7.89 g cm⁻³
DOS at the Fermi energy = 3.25 states/eV per cell
total magnetization = 7.37 μB per formula unit
excess energy over the best structure of this formula in the dataset = 191 meV/atom
ΔH_f (0 K) = -1.1 eV/f.u.

2.
# Gd2InSn

Gd2InSn after structural relaxation (PBE, Alexandria via LeMat-Bulk).

Cell and atoms, written as POSCAR:
```
Gd2InSn
1.0
3.996 0.000 0.000
0.000 3.996 0.000
0.000 0.000 6.875
Gd In Sn
2 1 1
Direct
0.000 0.000 0.243
0.000 0.000 0.757
0.500 0.500 0.500
0.500 0.500 0.000
```

Results
mass density = 8.29 g cm⁻³
DOS at the Fermi energy = 3.75 states/eV per cell
total magnetization = 14.76 μB per formula unit
ΔH_f (0 K) = -2.3 eV/f.u.

3.
# Gd2InSn

Gd2InSn after structural relaxation (PBE, Alexandria via LeMat-Bulk).

Cell and atoms, written as POSCAR:
```
Gd2InSn
1.0
4.888 0.000 0.000
0.000 4.888 0.000
0.000 0.000 4.529
Gd In Sn
2 1 1
Direct
0.000 0.500 0.000
0.500 0.000 0.000
0.000 0.000 0.500
0.500 0.500 0.500
```

Results
mass density = 8.41 g cm⁻³
DOS at the Fermi energy = 3.00 states/eV per cell
total magnetization = 14.96 μB per formula unit
ΔH_f (0 K) = -2.4 eV/f.u.

4.
# Gd2InSn

Gd2InSn after structural relaxation (PBE, Alexandria via LeMat-Bulk).

Cell and atoms, written as POSCAR:
```
Gd2InSn
1.0
1.895 1.094 9.473
-1.895 1.094 9.473
0.000 -2.188 9.473
Gd In Sn
2 1 1
Direct
0.249 0.249 0.249
0.751 0.751 0.751
0.000 0.000 0.000
0.500 0.500 0.500
```

Results
mass density = 7.73 g cm⁻³
DOS at the Fermi energy = 3.02 states/eV per cell
total magnetization = 14.40 μB per formula unit
ΔH_f (0 K) = -1.7 eV/f.u.

5.
# GdInSn2

GdInSn2 after structural relaxation (PBE, Alexandria via LeMat-Bulk).

Cell and atoms, written as POSCAR:
```
GdInSn2
1.0
4.718 0.000 0.000
0.000 4.718 0.000
0.000 0.000 4.662
Gd In Sn
1 1 2
Direct
0.000 0.000 0.000
0.500 0.500 0.000
0.000 0.500 0.500
0.500 0.000 0.500
```

Results
mass density = 8.15 g cm⁻³
DOS at the Fermi energy = 1.69 states/eV per cell
total magnetization = 6.84 μB per formula unit
excess energy over the best structure of this formula in the dataset = 0 meV/atom
ΔH_f (0 K) = -1.9 eV/f.u.

6.
# GdInSn2

GdInSn2 after structural relaxation (PBE, Alexandria via LeMat-Bulk).

Cell and atoms, written as POSCAR:
```
GdInSn2
1.0
4.029 0.000 0.000
0.000 4.029 0.000
0.000 0.000 6.617
Gd In Sn
1 1 2
Direct
0.000 0.000 0.000
0.000 0.000 0.500
0.500 0.500 0.264
0.500 0.500 0.736
```

Results
mass density = 7.88 g cm⁻³
DOS at the Fermi energy = 3.16 states/eV per cell
total magnetization = 7.52 μB per formula unit
excess energy over the best structure of this formula in the dataset = 128 meV/atom
ΔH_f (0 K) = -1.4 eV/f.u.

7.
# GdThInSn

GdThInSn after structural relaxation (PBE, Alexandria via LeMat-Bulk).

Cell and atoms, written as POSCAR:
```
GdThInSn
1.0
0.000 3.847 3.847
3.847 0.000 3.847
3.847 3.847 0.000
Gd Th In Sn
1 1 1 1
Direct
0.000 0.000 0.000
0.500 0.500 0.500
0.250 0.250 0.250
0.750 0.750 0.750
```

Results
mass density = 9.09 g cm⁻³
DOS at the Fermi energy = 4.59 states/eV per cell
total magnetization = 7.57 μB per formula unit
ΔH_f (0 K) = -1.6 eV/f.u.

8.
# GdTmInSn

GdTmInSn after structural relaxation (PBE, Alexandria via LeMat-Bulk).

Cell and atoms, written as POSCAR:
```
GdTmInSn
1.0
0.000 3.767 3.767
3.767 0.000 3.767
3.767 3.767 0.000
Gd Tm In Sn
1 1 1 1
Direct
0.000 0.000 0.000
0.500 0.500 0.500
0.250 0.250 0.250
0.750 0.750 0.750
```

Results
mass density = 8.69 g cm⁻³
DOS at the Fermi energy = 2.92 states/eV per cell
total magnetization = 7.04 μB per formula unit
ΔH_f (0 K) = -2.0 eV/f.u.

9.
# GdYInSn

GdYInSn after structural relaxation (PBE, Alexandria via LeMat-Bulk).

Cell and atoms, written as POSCAR:
```
GdYInSn
1.0
0.000 3.790 3.790
3.790 0.000 3.790
3.790 3.790 0.000
Gd Y In Sn
1 1 1 1
Direct
0.000 0.000 0.000
0.500 0.500 0.500
0.750 0.750 0.750
0.250 0.250 0.250
```

Results
mass density = 7.32 g cm⁻³
DOS at the Fermi energy = 2.65 states/eV per cell
total magnetization = 7.10 μB per formula unit
ΔH_f (0 K) = -2.2 eV/f.u.

10.
# SrGd2In

SrGd2In after structural relaxation (PBE, Alexandria via LeMat-Bulk).

Cell and atoms, written as POSCAR:
```
SrGd2In
1.0
1.855 1.071 12.007
-1.855 1.071 12.007
0.000 -2.142 12.007
Sr Gd In
1 2 1
Direct
0.000 0.000 0.000
0.100 0.100 0.100
0.900 0.900 0.900
0.500 0.500 0.500
```

Results
mass density = 6.00 g cm⁻³
DOS at the Fermi energy = 6.32 states/eV per cell
total magnetization = 14.99 μB per formula unit
excess energy over the best structure of this formula in the dataset = 199 meV/atom
ΔH_f (0 K) = 0.2 eV/f.u.

11.
# SrGd2In

SrGd2In after structural relaxation (PBE, Alexandria via LeMat-Bulk).

Cell and atoms, written as POSCAR:
```
SrGd2In
1.0
3.698 0.000 0.000
0.000 3.698 0.000
0.000 0.000 10.125
Sr Gd In
1 2 1
Direct
0.000 0.000 0.000
0.500 0.500 0.304
0.500 0.500 0.696
0.000 0.000 0.500
```

Results
mass density = 6.20 g cm⁻³
DOS at the Fermi energy = 7.54 states/eV per cell
total magnetization = 15.58 μB per formula unit
excess energy over the best structure of this formula in the dataset = 3 meV/atom
ΔH_f (0 K) = -0.6 eV/f.u.

12.
# SrGdIn2

SrGdIn2 after structural relaxation (PBE, Alexandria via LeMat-Bulk).

Cell and atoms, written as POSCAR:
```
SrGdIn2
1.0
1.919 1.108 10.200
-1.919 1.108 10.200
0.000 -2.215 10.200
Sr Gd In
1 1 2
Direct
0.000 0.000 0.000
0.500 0.500 0.500
0.246 0.246 0.246
0.754 0.754 0.754
```

Results
mass density = 6.06 g cm⁻³
DOS at the Fermi energy = 3.28 states/eV per cell
total magnetization = 7.37 μB per formula unit
excess energy over the best structure of this formula in the dataset = 203 meV/atom
ΔH_f (0 K) = -1.0 eV/f.u.

13.
# SrGd2In

SrGd2In after structural relaxation (PBE, Alexandria via LeMat-Bulk).

Cell and atoms, written as POSCAR:
```
SrGd2In
1.0
5.036 0.000 0.000
0.000 5.036 0.000
0.000 0.000 5.025
Sr Gd In
1 2 1
Direct
0.000 0.000 0.000
0.000 0.500 0.500
0.500 0.000 0.500
0.500 0.500 0.000
```

Results
mass density = 6.73 g cm⁻³
DOS at the Fermi energy = 4.20 states/eV per cell
total magnetization = 15.06 μB per formula unit
excess energy over the best structure of this formula in the dataset = 0 meV/atom
ΔH_f (0 K) = -0.6 eV/f.u.

14.
# SrGdIn2

SrGdIn2 after structural relaxation (PBE, Alexandria via LeMat-Bulk).

Cell and atoms, written as POSCAR:
```
SrGdIn2
1.0
0.000 3.926 3.926
3.926 0.000 3.926
3.926 3.926 0.000
Sr Gd In
1 1 2
Direct
0.000 0.000 0.000
0.500 0.500 0.500
0.250 0.250 0.250
0.750 0.750 0.750
```

Results
mass density = 6.51 g cm⁻³
DOS at the Fermi energy = 3.96 states/eV per cell
total magnetization = 7.23 μB per formula unit
excess energy over the best structure of this formula in the dataset = 51 meV/atom
ΔH_f (0 K) = -1.6 eV/f.u.

15.
# SrGdIn2

SrGdIn2 after structural relaxation (PBE, Alexandria via LeMat-Bulk).

Cell and atoms, written as POSCAR:
```
SrGdIn2
1.0
3.885 0.000 0.000
0.000 3.885 0.000
0.000 0.000 8.034
Sr Gd In
1 1 2
Direct
0.000 0.000 0.000
0.000 0.000 0.500
0.500 0.500 0.271
0.500 0.500 0.729
```

Results
mass density = 6.50 g cm⁻³
DOS at the Fermi energy = 2.98 states/eV per cell
total magnetization = 7.36 μB per formula unit
excess energy over the best structure of this formula in the dataset = 0 meV/atom
ΔH_f (0 K) = -1.8 eV/f.u.

16.
# SrGdIn4

SrGdIn4 after structural relaxation (PBE, Alexandria via LeMat-Bulk).

Cell and atoms, written as POSCAR:
```
SrGdIn4
1.0
0.000 4.355 4.355
4.355 0.000 4.355
4.355 4.355 0.000
Sr Gd In
1 1 4
Direct
0.000 0.000 0.000
0.750 0.750 0.750
0.375 0.375 0.375
0.375 0.375 0.874
0.375 0.874 0.375
0.874 0.375 0.375
```

Results
mass density = 7.08 g cm⁻³
DOS at the Fermi energy = 6.74 states/eV per cell
total magnetization = 7.64 μB per formula unit
ΔH_f (0 K) = -2.1 eV/f.u.

17.
# SrGdTlIn

SrGdTlIn after structural relaxation (PBE, Alexandria via LeMat-Bulk).

Cell and atoms, written as POSCAR:
```
SrGdTlIn
1.0
0.000 3.945 3.945
3.945 0.000 3.945
3.945 3.945 0.000
Sr Gd Tl In
1 1 1 1
Direct
0.000 0.000 0.000
0.500 0.500 0.500
0.750 0.750 0.750
0.250 0.250 0.250
```

Results
mass density = 7.63 g cm⁻³
DOS at the Fermi energy = 4.81 states/eV per cell
total magnetization = 7.17 μB per formula unit
ΔH_f (0 K) = -1.5 eV/f.u.

18.
# TbGdIn4

TbGdIn4 after structural relaxation (PBE, Alexandria via LeMat-Bulk).

Cell and atoms, written as POSCAR:
```
TbGdIn4
1.0
0.000 4.250 4.250
4.250 0.000 4.250
4.250 4.250 0.000
Tb Gd In
1 1 4
Direct
0.000 0.000 0.000
0.750 0.750 0.750
0.375 0.375 0.375
0.375 0.375 0.875
0.375 0.875 0.375
0.875 0.375 0.375
```

Results
mass density = 8.39 g cm⁻³
DOS at the Fermi energy = 5.13 states/eV per cell
total magnetization = 7.50 μB per formula unit
ΔH_f (0 K) = -2.2 eV/f.u.

19.
# TbGdIn

TbGdIn after structural relaxation (PBE, Alexandria via LeMat-Bulk).

Cell and atoms, written as POSCAR:
```
TbGdIn
1.0
5.259 0.000 0.000
-2.630 4.555 0.000
0.000 0.000 3.618
Tb Gd In
1 1 1
Direct
0.000 0.000 0.000
0.667 0.333 0.566
0.333 0.667 0.267
```

Results
mass density = 8.26 g cm⁻³
DOS at the Fermi energy = 3.18 states/eV per cell
total magnetization = 7.30 μB per formula unit
excess energy over the best structure of this formula in the dataset = 0 meV/atom
ΔH_f (0 K) = -0.7 eV/f.u.

20.
# TbGdIn

TbGdIn after structural relaxation (PBE, Alexandria via LeMat-Bulk).

Cell and atoms, written as POSCAR:
```
TbGdIn
1.0
-1.662 1.662 9.036
1.662 -1.662 9.036
1.662 1.662 -9.036
Tb Gd In
1 1 1
Direct
0.000 0.000 0.000
0.357 0.357 0.000
0.177 0.177 0.000
```

Results
mass density = 7.17 g cm⁻³
DOS at the Fermi energy = 3.20 states/eV per cell
total magnetization = 7.26 μB per formula unit
excess energy over the best structure of this formula in the dataset = 442 meV/atom
ΔH_f (0 K) = 0.6 eV/f.u.